1.
The following is a PBE calculation of a relaxed CsNa2Mg crystal, from Alexandria via LeMat-Bulk.

- energy of formation (eV per atom) = 0.244
- total energy (eV/atom) = -1.03

Cell and atoms, written as POSCAR:
```
CsNa2Mg
1.0
-2.8878 2.8878 12.6016
2.8878 -2.8878 12.6016
2.8878 2.8878 -12.6016
Cs Na Mg
2 4 2
Direct
0.0000 0.0000 0.0000
0.7500 0.2500 0.5000
0.2257 0.6250 0.1007
0.3750 0.4757 0.6007
0.5243 0.1250 0.8993
0.8750 0.7743 0.3993
0.2500 0.7500 0.5000
0.5000 0.5000 0.0000
```

***

2.
The following is a PBE calculation of a relaxed CsNa2Mg2 crystal, from Alexandria via LeMat-Bulk.

- energy of formation (eV per atom) = 0.165
- polymorph energy (0 for the lowest one) (meV per atom) = 0
- total energy (eV/atom) = -1.17

Cell and atoms, written as POSCAR:
```
CsNa2Mg2
1.0
10.3191 0.0000 0.0000
0.0000 10.3191 0.0000
0.0000 0.0000 3.6255
Cs Na Mg
2 4 4
Direct
0.0000 0.0000 0.0000
0.5000 0.5000 0.0000
0.1754 0.3246 0.5000
0.3246 0.8246 0.5000
0.6754 0.1754 0.5000
0.8246 0.6754 0.5000
0.1089 0.6089 0.0000
0.3911 0.1089 0.0000
0.6089 0.8911 0.0000
0.8911 0.3911 0.0000
```

***

3.
The following is a PBE calculation of a relaxed Cs2NaMg2 crystal, from Alexandria via LeMat-Bulk.

- energy of formation (eV per atom) = 0.212
- polymorph energy (0 for the lowest one) (meV per atom) = 13
- total energy (eV/atom) = -1.03

Cell and atoms, written as POSCAR:
```
Cs2NaMg2
1.0
9.3628 0.0000 0.0000
0.0000 9.3628 0.0000
0.0000 0.0000 6.1966
Cs Na Mg
4 2 4
Direct
0.1778 0.3222 0.0000
0.3222 0.8222 0.0000
0.6778 0.1778 0.0000
0.8222 0.6778 0.0000
0.0000 0.0000 0.5000
0.5000 0.5000 0.5000
0.1204 0.6204 0.5000
0.3796 0.1204 0.5000
0.6204 0.8796 0.5000
0.8796 0.3796 0.5000
```

***

4.
The following is a PBE calculation of a relaxed Cs2Na2Mg crystal, from Alexandria via LeMat-Bulk.

- energy of formation (eV per atom) = 0.268
- polymorph energy (0 for the lowest one) (meV per atom) = 119
- total energy (eV/atom) = -0.92

Cell and atoms, written as POSCAR:
```
Cs2Na2Mg
1.0
11.8086 0.0000 0.0000
0.0000 11.8086 0.0000
0.0000 0.0000 4.6417
Cs Na Mg
4 4 2
Direct
0.1880 0.3120 0.0000
0.3120 0.8120 0.0000
0.6880 0.1880 0.0000
0.8120 0.6880 0.0000
0.1060 0.6060 0.5000
0.3940 0.1060 0.5000
0.6060 0.8940 0.5000
0.8940 0.3940 0.5000
0.0000 0.0000 0.0000
0.5000 0.5000 0.0000
```

***

5.
The following is a PBE calculation of a relaxed Cs2Na4Mg crystal, from Alexandria via LeMat-Bulk.

- energy of formation (eV per atom) = 0.150
- total energy (eV/atom) = -1.08

Cell and atoms, written as POSCAR:
```
Cs2Na4Mg
1.0
-3.1616 3.1616 10.5628
3.1616 -3.1616 10.5628
3.1616 3.1616 -10.5628
Cs Na Mg
2 4 1
Direct
0.1407 0.1407 0.0000
0.8593 0.8593 0.0000
0.0000 0.5000 0.5000
0.3501 0.3501 0.0000
0.5000 0.0000 0.5000
0.6499 0.6499 0.0000
0.5000 0.5000 0.0000
```

***

6.
The following is a PBE calculation of a relaxed Cs2Na2Mg crystal, from Alexandria via LeMat-Bulk.

- energy of formation (eV per atom) = 0.174
- polymorph energy (0 for the lowest one) (meV per atom) = 25
- total energy (eV/atom) = -1.01

Cell and atoms, written as POSCAR:
```
Cs2Na2Mg
1.0
-2.4438 2.4438 12.6278
2.4438 -2.4438 12.6278
2.4438 2.4438 -12.6278
Cs Na Mg
2 2 1
Direct
0.0980 0.0980 0.0000
0.9020 0.9020 0.0000
0.2500 0.7500 0.5000
0.7500 0.2500 0.5000
0.5000 0.5000 0.0000
```

***

7.
The following is a PBE calculation of a relaxed Cs2NaMg crystal, from Alexandria via LeMat-Bulk.

- energy of formation (eV per atom) = 0.253
- total energy (eV/atom) = -0.90

Cell and atoms, written as POSCAR:
```
Cs2NaMg
1.0
-5.6190 5.6190 4.1959
5.6190 -5.6190 4.1959
5.6190 5.6190 -4.1959
Cs Na Mg
4 2 2
Direct
0.1131 0.6250 0.9881
0.3750 0.3631 0.4881
0.6369 0.1250 0.0119
0.8750 0.8869 0.5119
0.2500 0.7500 0.5000
0.5000 0.5000 0.0000
0.0000 0.0000 0.0000
0.7500 0.2500 0.5000
```

***

8.
The following is a PBE calculation of a relaxed CsNa2Mg crystal, from Alexandria via LeMat-Bulk.

- energy of formation (eV per atom) = 0.226
- total energy (eV/atom) = -1.05

Cell and atoms, written as POSCAR:
```
CsNa2Mg
1.0
6.2085 0.0000 0.0000
0.0000 6.2085 0.0000
0.0000 0.0000 4.7292
Cs Na Mg
1 2 1
Direct
0.0000 0.0000 0.0000
0.0000 0.5000 0.5000
0.5000 0.0000 0.5000
0.5000 0.5000 0.0000
```

***

| no. | total magnetization (μB/f.u.) |
| --- | --- |
| 1 | 0.00 |
| 2 | 0.00 |
| 3 | 0.00 |
| 4 | 0.00 |
| 5 | 0.00 |
| 6 | 0.00 |
| 7 | 0.00 |
| 8 | 0.00 |